Record 1
Density functional theory data (PBE) for CaRe4S8 after structural relaxation.

Cell: 6.372 6.372 8.350 Å, 90.00 112.43 120.00°
Fractional coordinates of all 13 atoms:
1 Ca 0.000 0.500 0.500
2 Re 0.000 0.000 0.000
3 Re 0.000 0.500 0.000
4 Re 0.500 0.500 0.000
5 Re 0.500 0.000 0.000
6 S 0.474 0.737 0.211
7 S 0.526 0.263 0.789
8 S 0.474 0.237 0.212
9 S 0.025 0.261 0.788
10 S 0.526 0.763 0.788
11 S 0.025 0.763 0.788
12 S 0.975 0.237 0.212
13 S 0.975 0.739 0.212

***

Record 2
Density functional theory data (PBE) for CaReS3 after structural relaxation.

Cell: 4.695 4.695 4.695 Å, 90.00 90.00 90.00°
Fractional coordinates of all 5 atoms:
1 Re 0.000 0.000 0.000
2 Ca 0.500 0.500 0.500
3 S 0.000 0.500 0.000
4 S 0.000 0.000 0.500
5 S 0.500 0.000 0.000

***

Record 3
Density functional theory data (PBE) for Ca2ReS after structural relaxation.

Cell: 10.220 10.220 7.550 Å, 47.40 47.40 90.00°
Fractional coordinates of all 8 atoms:
1 Re 0.000 0.000 0.000
2 Re 0.750 0.250 0.500
3 Ca 0.462 0.125 0.250
4 Ca 0.288 0.625 0.250
5 Ca 0.375 0.538 0.750
6 Ca 0.875 0.712 0.750
7 S 0.500 0.500 0.000
8 S 0.250 0.750 0.500

***

| no. | volume (Å³/cell) | ΔE_f (raw) (meV per atom) | total moment (μB/f.u.) |
| --- | --- | --- | --- |
| 1 | 263.6 | -378 | 0.0 |
| 2 | 103.5 | -499 | 0.0 |
| 3 | 228.2 | -17 | 0.0 |